DFT (PBE-GGA) results for ScZnCuAs after structural relaxation.

Summary:
Total magnetization: 0.00 Bohr magnetons per cell
Space-group type: F-43m (216)
ΔE to the lowest computed polymorph: 2.0 meV per atom

```
ScZnCuAs
1.0
-0.037 -3.452 -2.947
-1.809 -3.987 1.198
-3.915 -1.364 -1.849
As Cu Sc Zn
1 1 1 1
direct
0.000 0.000 0.000 As
0.250 0.250 0.250 Cu
0.750 0.750 0.750 Sc
0.500 0.500 0.500 Zn
```

=====

DFT (PBE-GGA) results for BeZnSO after structural relaxation.

Summary:
Space-group type: P2_12_12_1 (19)
ΔE to the lowest computed polymorph: 71.3 meV per atom

```
BeZnSO
1.0
-4.230 -1.039 -2.106
-3.008 -0.378 6.228
-1.457 6.552 -0.306
Be O S Zn
4 4 4 4
direct
0.196 0.171 0.044 Be
0.804 0.671 0.456 Be
0.304 0.829 0.544 Be
0.696 0.329 0.956 Be
0.498 0.212 0.089 O
0.502 0.712 0.411 O
0.002 0.788 0.589 O
0.998 0.288 0.911 O
0.001 0.912 0.126 S
0.999 0.412 0.374 S
0.499 0.088 0.626 S
0.501 0.588 0.874 S
0.288 0.626 0.178 Zn
0.712 0.126 0.322 Zn
0.212 0.374 0.678 Zn
0.788 0.874 0.822 Zn
```